Entry P
Entry from Alexandria: a relaxed structure of SrUI6 (PBE).

Calculated values
symmetry: No. 12
volume: 51.83 Å³/atom

Cell lengths 8.095, 8.095, 7.813 Å; angles 98.40, 98.40, 121.88 degrees
Fractional positions:
Sr  0.000  0.000  0.000
U  0.500  0.500  0.500
I  0.573  0.877  0.736
I  0.877  0.573  0.736
I  0.123  0.427  0.264
I  0.427  0.123  0.264
I  0.256  0.256  0.730
I  0.744  0.744  0.270

=====

Entry Q
Entry from Alexandria: a relaxed structure of SrUI6 (PBE).

Calculated values
symmetry: No. 15
volume: 54.01 Å³/atom

Cell lengths 8.078, 8.078, 15.575 Å; angles 84.22, 84.22, 119.76 degrees
Fractional positions:
Sr  0.085  0.915  0.250
Sr  0.915  0.085  0.750
U  0.419  0.581  0.250
U  0.581  0.419  0.750
I  0.318  0.455  0.634
I  0.455  0.318  0.134
I  0.230  0.076  0.867
I  0.076  0.230  0.367
I  0.165  0.634  0.133
I  0.634  0.165  0.633
I  0.366  0.835  0.367
I  0.835  0.366  0.867
I  0.770  0.924  0.133
I  0.924  0.770  0.633
I  0.545  0.682  0.866
I  0.682  0.545  0.366

=====

Entry R
Entry from Alexandria: a relaxed structure of SrUI6 (PBE).

Calculated values
symmetry: No. 2
volume: 48.10 Å³/atom

Cell lengths 7.864, 7.864, 8.506 Å; angles 62.41, 62.45, 59.93 degrees
Fractional positions:
Sr  0.500  0.500  0.500
U  0.000  0.000  0.000
I  0.070  0.400  0.759
I  0.770  0.070  0.760
I  0.600  0.230  0.241
I  0.230  0.930  0.240
I  0.930  0.600  0.241
I  0.400  0.770  0.759

=====

Short version: entry R is the least stable of them.

=====

Entry P
Entry from Alexandria: a relaxed structure of SrV2I (PBE).

Calculated values
symmetry: No. 225
volume: 23.91 Å³/atom

Cell lengths 5.133, 5.133, 5.133 Å; angles 60.00, 60.00, 60.00 degrees
Fractional positions:
I  0.500  0.500  0.500
Sr  0.000  0.000  0.000
V  0.250  0.250  0.250
V  0.750  0.750  0.750

=====

Entry Q
Entry from Alexandria: a relaxed structure of SrV2I (PBE).

Calculated values
symmetry: No. 122
volume: 26.37 Å³/atom

Cell lengths 4.622, 4.622, 10.404 Å; angles 77.17, 77.17, 90.00 degrees
Fractional positions:
I  0.000  0.000  0.000
I  0.750  0.250  0.500
Sr  0.500  0.500  0.000
Sr  0.250  0.750  0.500
V  0.817  0.125  0.250
V  0.933  0.625  0.250
V  0.375  0.183  0.750
V  0.875  0.067  0.750

=====

Short version: entry P is the least stable of them.

=====

Entry P
Entry from Alexandria: a relaxed structure of Sr3WI (PBE).

Calculated values
symmetry: No. 221
volume: 46.25 Å³/atom

Cell lengths 6.138, 6.138, 6.138 Å; angles 90.00, 90.00, 90.00 degrees
Fractional positions:
I  0.000  0.000  0.000
Sr  0.000  0.500  0.000
Sr  0.000  0.000  0.500
Sr  0.500  0.000  0.000
W  0.500  0.500  0.500

=====

Entry Q
Entry from Alexandria: a relaxed structure of Sr3WI (PBE).

Calculated values
symmetry: No. 221
volume: 40.64 Å³/atom

Cell lengths 5.879, 5.879, 5.879 Å; angles 90.00, 90.00, 90.00 degrees
Fractional positions:
I  0.500  0.500  0.500
Sr  0.000  0.500  0.000
Sr  0.000  0.000  0.500
Sr  0.500  0.000  0.000
W  0.000  0.000  0.000

=====

Short version: entry P is the least stable of them.

=====

Entry P
Entry from Alexandria: a relaxed structure of SrWI3 (PBE).

Calculated values
symmetry: No. 221
volume: 50.93 Å³/atom

Cell lengths 6.339, 6.339, 6.339 Å; angles 90.00, 90.00, 90.00 degrees
Fractional positions:
I  0.000  0.500  0.000
I  0.000  0.000  0.500
I  0.500  0.000  0.000
Sr  0.000  0.000  0.000
W  0.500  0.500  0.500

=====

Entry Q
Entry from Alexandria: a relaxed structure of SrWI3 (PBE).

Calculated values
symmetry: No. 221
volume: 35.94 Å³/atom

Cell lengths 5.643, 5.643, 5.643 Å; angles 90.00, 90.00, 90.00 degrees
Fractional positions:
I  0.000  0.500  0.000
I  0.000  0.000  0.500
I  0.500  0.000  0.000
Sr  0.500  0.500  0.500
W  0.000  0.000  0.000

=====

Short version: entry P is the least stable of them.

=====

Entry P
Entry from Alexandria: a relaxed structure of SrYI2 (PBE).

Calculated values
symmetry: No. 122
volume: 47.08 Å³/atom

Cell lengths 7.208, 7.208, 8.862 Å; angles 66.00, 66.00, 90.00 degrees
Fractional positions:
I  0.650  0.125  0.250
I  0.100  0.625  0.250
I  0.375  0.350  0.750
I  0.875  0.900  0.750
Y  0.000  0.000  0.000
Y  0.750  0.250  0.500
Sr  0.500  0.500  0.000
Sr  0.250  0.750  0.500

=====

Entry Q
Entry from Alexandria: a relaxed structure of SrYI2 (PBE).

Calculated values
symmetry: No. 166
volume: 40.71 Å³/atom

Cell lengths 4.091, 4.091, 11.479 Å; angles 79.73, 79.73, 60.00 degrees
Fractional positions:
I  0.106  0.106  0.683
I  0.894  0.894  0.317
Y  0.500  0.500  0.500
Sr  0.000  0.000  0.000

=====

Entry R
Entry from Alexandria: a relaxed structure of SrYI2 (PBE).

Calculated values
symmetry: No. 225
volume: 30.88 Å³/atom

Cell lengths 5.590, 5.590, 5.590 Å; angles 60.00, 60.00, 60.00 degrees
Fractional positions:
I  0.250  0.250  0.250
I  0.750  0.750  0.750
Y  0.500  0.500  0.500
Sr  0.000  0.000  0.000

=====

Short version: entry P is the least stable of them.

=====

Entry P
Entry from Alexandria: a relaxed structure of SrZnI4 (PBE).

Calculated values
symmetry: No. 141
volume: 44.56 Å³/atom

Cell lengths 8.900, 8.900, 8.900 Å; angles 74.35, 74.34, 117.41 degrees
Fractional positions:
Sr  0.875  0.625  0.250
Sr  0.125  0.375  0.750
Zn  0.625  0.875  0.750
Zn  0.375  0.125  0.250
I  0.253  0.686  0.934
I  0.620  0.686  0.566
I  0.186  0.120  0.066
I  0.747  0.314  0.066
I  0.186  0.753  0.434
I  0.814  0.880  0.934
I  0.380  0.314  0.434
I  0.814  0.247  0.566

=====

Entry Q
Entry from Alexandria: a relaxed structure of SrZnI4 (PBE).

Calculated values
symmetry: No. 14
volume: 45.31 Å³/atom

Cell lengths 4.510, 7.932, 15.208 Å; angles 87.90, 90.00, 90.00 degrees
Fractional positions:
Sr  0.000  0.000  0.500
Sr  0.500  0.500  0.000
Zn  0.500  0.500  0.500
Zn  0.000  0.000  0.000
I  0.501  0.204  0.383
I  0.001  0.296  0.117
I  0.499  0.796  0.617
I  0.999  0.704  0.883
I  0.890  0.648  0.390
I  0.390  0.852  0.110
I  0.110  0.352  0.610
I  0.610  0.148  0.890

=====

Short version: entry Q is the least stable of them.

=====

Entry P
Entry from Alexandria: a relaxed structure of SrZnI3 (PBE).

Calculated values
symmetry: No. 221
volume: 53.59 Å³/atom

Cell lengths 6.447, 6.447, 6.447 Å; angles 90.00, 90.00, 90.00 degrees
Fractional positions:
I  0.000  0.500  0.000
I  0.000  0.000  0.500
I  0.500  0.000  0.000
Sr  0.000  0.000  0.000
Zn  0.500  0.500  0.500

=====

Entry Q
Entry from Alexandria: a relaxed structure of SrZnI3 (PBE).

Calculated values
symmetry: No. 221
volume: 36.70 Å³/atom

Cell lengths 5.683, 5.683, 5.683 Å; angles 90.00, 90.00, 90.00 degrees
Fractional positions:
I  0.000  0.500  0.000
I  0.000  0.000  0.500
I  0.500  0.000  0.000
Sr  0.500  0.500  0.500
Zn  0.000  0.000  0.000

=====

Short version: entry P is the least stable of them.

=====

Entry P
Entry from Alexandria: a relaxed structure of Sr3ZrI (PBE).

Calculated values
symmetry: No. 221
volume: 53.43 Å³/atom

Cell lengths 6.440, 6.440, 6.440 Å; angles 90.00, 90.00, 90.00 degrees
Fractional positions:
I  0.500  0.500  0.500
Sr  0.000  0.500  0.000
Sr  0.000  0.000  0.500
Sr  0.500  0.000  0.000
Zr  0.000  0.000  0.000

=====

Entry Q
Entry from Alexandria: a relaxed structure of Sr3ZrI (PBE).

Calculated values
symmetry: No. 221
volume: 47.53 Å³/atom

Cell lengths 6.194, 6.194, 6.194 Å; angles 90.00, 90.00, 90.00 degrees
Fractional positions:
I  0.000  0.000  0.000
Sr  0.000  0.500  0.000
Sr  0.000  0.000  0.500
Sr  0.500  0.000  0.000
Zr  0.500  0.500  0.500

=====

Short version: entry P is the least stable of them.

=====

Entry P
Entry from Alexandria: a relaxed structure of TaTcI2 (PBE).

Calculated values
symmetry: No. 225
volume: 19.68 Å³/atom

Cell lengths 4.810, 4.810, 4.810 Å; angles 60.00, 60.00, 60.00 degrees
Fractional positions:
I  0.250  0.250  0.250
I  0.750  0.750  0.750
Tc  0.000  0.000  0.000
Ta  0.500  0.500  0.500

=====

Entry Q
Entry from Alexandria: a relaxed structure of TaTcI2 (PBE).

Calculated values
symmetry: No. 122
volume: 28.48 Å³/atom

Cell lengths 6.175, 6.175, 7.401 Å; angles 65.34, 65.34, 90.00 degrees
Fractional positions:
I  0.609  0.125  0.250
I  0.141  0.625  0.250
I  0.375  0.391  0.750
I  0.875  0.859  0.750
Tc  0.500  0.500  0.000
Tc  0.250  0.750  0.500
Ta  0.000  0.000  0.000
Ta  0.750  0.250  0.500

=====

Short version: entry Q is the least stable of them.

=====

Entry P
Entry from Alexandria: a relaxed structure of TaTc2I (PBE).

Calculated values
symmetry: No. 225
volume: 17.35 Å³/atom

Cell lengths 4.613, 4.613, 4.613 Å; angles 60.00, 60.00, 60.00 degrees
Fractional positions:
I  0.000  0.000  0.000
Tc  0.250  0.250  0.250
Tc  0.750  0.750  0.750
Ta  0.500  0.500  0.500

=====

Entry Q
Entry from Alexandria: a relaxed structure of TaTc2I (PBE).

Calculated values
symmetry: No. 122
volume: 25.19 Å³/atom

Cell lengths 5.873, 5.873, 7.169 Å; angles 65.82, 65.82, 90.00 degrees
Fractional positions:
I  0.500  0.500  0.000
I  0.250  0.750  0.500
Tc  0.641  0.125  0.250
Tc  0.109  0.625  0.250
Tc  0.375  0.359  0.750
Tc  0.875  0.891  0.750
Ta  0.000  0.000  0.000
Ta  0.750  0.250  0.500

=====

Short version: entry Q is the least stable of them.

=====

Entry P
Entry from Alexandria: a relaxed structure of Ta3TcI (PBE).

Calculated values
symmetry: No. 221
volume: 23.79 Å³/atom

Cell lengths 4.918, 4.918, 4.918 Å; angles 90.00, 90.00, 90.00 degrees
Fractional positions:
I  0.000  0.000  0.000
Tc  0.500  0.500  0.500
Ta  0.000  0.500  0.000
Ta  0.000  0.000  0.500
Ta  0.500  0.000  0.000

=====

Entry Q
Entry from Alexandria: a relaxed structure of Ta3TcI (PBE).

Calculated values
symmetry: No. 221
volume: 23.41 Å³/atom

Cell lengths 4.892, 4.892, 4.892 Å; angles 90.00, 90.00, 90.00 degrees
Fractional positions:
I  0.500  0.500  0.500
Tc  0.000  0.000  0.000
Ta  0.000  0.500  0.000
Ta  0.000  0.000  0.500
Ta  0.500  0.000  0.000

=====

Short version: entry P is the least stable of them.

=====

Entry P
Entry from Alexandria: a relaxed structure of TaTeI2 (PBE).

Calculated values
symmetry: No. 225
volume: 25.33 Å³/atom

Cell lengths 5.233, 5.233, 5.233 Å; angles 60.00, 60.00, 60.00 degrees
Fractional positions:
I  0.250  0.250  0.250
I  0.750  0.750  0.750
Te  0.000  0.000  0.000
Ta  0.500  0.500  0.500

=====

Entry Q
Entry from Alexandria: a relaxed structure of TaTeI2 (PBE).

Calculated values
symmetry: No. 122
volume: 35.69 Å³/atom

Cell lengths 10.290, 10.290, 7.759 Å; angles 48.47, 48.47, 90.00 degrees
Fractional positions:
I  0.763  0.125  0.250
I  0.987  0.625  0.250
I  0.375  0.237  0.750
I  0.875  0.013  0.750
Te  0.500  0.500  0.000
Te  0.250  0.750  0.500
Ta  0.000  0.000  0.000
Ta  0.750  0.250  0.500

=====

Short version: entry P is the least stable of them.